Record 1
## Sc2Rh (PBE)

Data for crystalline Sc2Rh at its relaxed geometry.

a b c (Å): 12.971 12.971 12.971
angles (deg): 166.20 166.20 19.56
Fractional positions:
Sc  0.185  0.685  0.500
Sc  0.315  0.815  0.500
Sc  0.435  0.435  0.000
Sc  0.565  0.565  0.000
Rh  0.000  0.000  0.000
Rh  0.750  0.250  0.500

Summary:
Symmetry = I4_1/amd (141)
V = 20.69 Å³/atom
Crystal system = tetragonal
Spin magnetization = 0.0000 μB per atom


Record 2
## ThAl2Rh (PBE)

Data for crystalline ThAl2Rh at its relaxed geometry.

a b c (Å): 3.180 3.180 7.443
angles (deg): 90.00 90.00 90.00
Fractional positions:
Rh  0.500  0.500  0.000
Al  0.000  0.000  0.814
Al  0.000  0.000  0.186
Th  0.500  0.500  0.500

Summary:
Symmetry = P4/mmm (123)
V = 18.82 Å³/atom
Crystal system = tetragonal
Spin magnetization = 0.0000 μB per atom


Number 1: formation energy from the elements -0.55 eV per atom. Number 2: formation energy from the elements -0.61 eV per atom.